No. 1
Here is crystalline CaTc2Hg at its relaxed geometry from Alexandria via LeMat-Bulk. Energies are from GGA-PBE.

Cell lengths 5.7860, 9.4427, 2.6897 Å; angles 90.00, 90.00, 90.00 degrees
Space group Cmmm (No. 65)
Symmetry-distinct sites (fractional):
Ca (0.0000, 0.0000, 0.0000)
Tc (0.2500, 0.2500, 0.5000)
Hg (0.0000, 0.5000, 0.0000)

## Properties
DOS at the Fermi energy ... 3.805 states/eV/f.u.
Formation energy ... 0.70 eV/atom
Energy ... -40.49 eV per cell

No. 2
Here is crystalline BaFeRe2 at its relaxed geometry from Alexandria via LeMat-Bulk. Energies are from GGA-PBE.

Cell lengths 5.3105, 10.5269, 2.7731 Å; angles 90.00, 90.00, 90.00 degrees
Space group Cmmm (No. 65)
Symmetry-distinct sites (fractional):
Ba (0.0000, 0.0000, 0.0000)
Fe (0.0000, 0.5000, 0.0000)
Re (0.2500, 0.2500, 0.5000)

## Properties
DOS at the Fermi energy ... 3.677 states/eV/f.u.
E above lowest polymorph ... 978 meV/atom
Formation energy ... 1.52 eV/atom
Energy ... -58.39 eV per cell

Question: What is the formula in the second record?
Answer: BaFeRe2

Question: formation energy of number 2 (BaFeRe2)?
Answer: 1.52 eV/atom

Question: What is the formula in the first record?
Answer: CaTc2Hg